Record 1
VASP calculation (PBE-GGA) on a relaxed AsIrOsO crystal.

Structure (POSCAR):
```
AsIrOsO
1.0
-1.396 -1.655 -3.269
-3.225 -1.105 1.937
-2.999 5.825 -1.669
Os Ir O As
2 2 2 2
Direct
0.750 0.250 0.500
0.250 0.750 0.500
0.250 0.250 0.204
0.750 0.750 0.796
0.750 0.250 0.000
0.250 0.750 0.000
0.250 0.250 0.739
0.750 0.750 0.261
```

Properties
Raw total energy in eV/atom: -7.10
ΔE to the lowest computed polymorph in eV per atom: 0.252
ρ in kg/m³: 15124

Record 2
VASP calculation (PBE-GGA) on a relaxed CsSmDyTe3 crystal.

Structure (POSCAR):
```
CsSmDyTe3
1.0
2.419 -8.754 0.000
2.419 8.754 0.000
0.000 0.000 12.017
Te Cs Dy Sm
6 2 2 2
Direct
0.121 0.879 0.956
0.879 0.121 0.044
0.564 0.436 0.250
0.436 0.564 0.750
0.879 0.121 0.456
0.121 0.879 0.544
0.243 0.757 0.250
0.757 0.243 0.750
0.033 0.967 0.750
0.967 0.033 0.250
0.500 0.500 0.000
0.500 0.500 0.500
```

Properties
Raw total energy in eV/atom: -4.53
ρ in kg/m³: 5408

Record 3
VASP calculation (PBE-GGA) on a relaxed LiSmP4O12 crystal.

Structure (POSCAR):
```
LiSmP4O12
1.0
0.000 6.991 0.000
-8.125 -3.495 -0.030
2.482 -3.495 7.772
Li Sm P O
2 2 8 24
Direct
0.547 0.750 0.750
0.453 0.250 0.250
0.953 0.250 0.250
0.047 0.750 0.750
0.532 0.613 0.337
0.081 0.887 0.163
0.399 0.201 0.904
0.919 0.113 0.837
0.468 0.387 0.663
0.601 0.799 0.096
0.795 0.299 0.596
0.205 0.701 0.404
0.159 0.818 0.050
0.841 0.182 0.950
0.802 0.762 0.082
0.247 0.727 0.586
0.526 0.363 0.850
0.542 0.262 0.582
0.288 0.033 0.768
0.186 0.863 0.350
0.987 0.467 0.732
0.139 0.074 0.200
0.198 0.238 0.918
0.791 0.682 0.450
0.753 0.273 0.414
0.635 0.574 0.700
0.474 0.637 0.150
0.365 0.426 0.300
0.458 0.738 0.418
0.565 0.227 0.086
0.861 0.926 0.800
0.814 0.137 0.650
0.209 0.318 0.550
0.712 0.967 0.232
0.013 0.533 0.268
0.435 0.773 0.914
```

Properties
Raw total energy in eV/atom: -7.33
ρ in kg/m³: 3564

Record 4
VASP calculation (PBE-GGA) on a relaxed TmF crystal.

Structure (POSCAR):
```
TmF
1.0
1.791 2.170 2.512
-1.578 0.697 3.354
1.453 -1.536 3.123
F Tm
1 1
Direct
0.000 0.000 0.000
0.250 0.250 0.250
```

Properties
Raw total energy in eV/atom: -5.45
ΔE to the lowest computed polymorph in eV per atom: 0.000
ρ in kg/m³: 8226

Record 5
VASP calculation (PBE-GGA) on a relaxed OsOF5 crystal.

Structure (POSCAR):
```
OsOF5
1.0
8.692 0.000 0.000
0.000 7.980 0.000
0.000 0.000 4.631
F Os O
20 4 4
Direct
0.750 0.414 0.564
0.003 0.415 0.261
0.238 0.250 0.408
0.750 0.914 0.064
0.503 0.415 0.239
0.997 0.585 0.739
0.262 0.750 0.908
0.503 0.085 0.239
0.003 0.085 0.261
0.997 0.915 0.739
0.762 0.750 0.592
0.250 0.086 0.936
0.750 0.586 0.064
0.497 0.915 0.761
0.250 0.914 0.436
0.250 0.414 0.936
0.497 0.585 0.761
0.738 0.250 0.092
0.750 0.086 0.564
0.250 0.586 0.436
0.615 0.250 0.433
0.115 0.250 0.067
0.885 0.750 0.933
0.385 0.750 0.567
0.500 0.750 0.273
0.000 0.250 0.773
0.500 0.250 0.727
0.000 0.750 0.227
```

Properties
Raw total energy in eV/atom: -5.15
ΔE to the lowest computed polymorph in eV per atom: 0.000
ρ in kg/m³: 6229

Record 6
VASP calculation (PBE-GGA) on a relaxed SmErTlCu2 crystal.

Structure (POSCAR):
```
SmErTlCu2
1.0
3.733 0.000 0.000
0.000 2.049 7.167
0.000 -2.049 7.167
Er Sm Cu Tl
1 1 2 1
Direct
0.500 0.636 0.636
0.500 0.366 0.366
0.000 0.199 0.199
0.000 0.795 0.795
0.000 0.003 0.003
```

Properties
Raw total energy in eV/atom: -4.12
ρ in kg/m³: 9832

Look up the raw total energy of the fifth one. -5.15 eV/atom